Computed, not measured: Li2LaP at its PBEsol-relaxed geometry at the meta-GGA SCAN level of DFT.

```
Li2LaP
1.0
4.2184 0.0161 0.0000
-0.2714 4.2097 0.0000
0.0000 0.0000 4.7893
P Li La
1 2 1
Direct
0.5000 0.5000 0.5000
0.6840 0.3160 0.0000
0.3160 0.6840 0.0000
0.0000 0.0000 0.5000
```

Output
spin magnetization = 0.000 μB per atom
calculated volume = 21.27 Å³ per atom
E_tot = -61.059 eV/cell
N(E_F) = 1.32 states/eV/cell
calculated density = 3.59 g cm⁻³
space group = No. 65
formation energy = -694 meV/atom